Entry 1:
Material: NaPtSe2F
Method: DFT, GGA-PBE
State: relaxed

Cell: 5.0381 5.0381 4.2913 Å, 90.00 90.00 90.00°
Last column: nearest neighbours and their distance in Å.
Space group P4/mmm (No. 123)
Inequivalent atoms, fractional coordinates:
1 Na 0.0000 0.0000 0.0000 [1 per cell]  8 Se 3.31, 4 F 3.56
2 Pt 0.5000 0.5000 0.5000 [1 per cell]  2 F 2.15
3 Se 0.0000 0.5000 0.5000 [2 per cell]  2 Pt 2.52
4 F 0.5000 0.5000 0.0000 [1 per cell]  2 Pt 2.15

Output
E_tot: -18.71 eV/cell

---

Entry 2:
Material: Na2SrPtF8
Method: DFT, GGA-PBE
State: relaxed

Cell: 5.1151 5.1151 7.6545 Å, 90.00 90.00 120.00°
Last column: nearest neighbours and their distance in Å.
Space group P-3m1 (No. 164)
Inequivalent atoms, fractional coordinates:
1 Na 0.3333 0.6667 0.3062 [2 per cell]  1 F 2.11
2 Sr 0.0000 0.0000 0.0000 [1 per cell]  12 F 2.92-2.96
3 Pt 0.0000 0.0000 0.5000 [1 per cell]  6 F 1.96
4 F 0.1657 0.3314 0.6702 [6 per cell]  1 Pt 1.96
5 F 0.3333 0.6667 0.0307 [2 per cell]  1 Na 2.11

Output
E_tot: -53.18 eV/cell

---

Entry 3:
Material: NaTlPt2F
Method: DFT, GGA-PBE
State: relaxed

Cell: 4.5415 4.5415 4.9505 Å, 90.00 90.00 90.00°
Last column: nearest neighbours and their distance in Å.
Space group P4/mmm (No. 123)
Inequivalent atoms, fractional coordinates:
1 Na 0.0000 0.0000 0.0000 [1 per cell]  4 Tl 3.21, 8 Pt 3.36
2 Tl 0.5000 0.5000 0.0000 [1 per cell]  2 F 2.48
3 Pt 0.0000 0.5000 0.5000 [2 per cell]  2 F 2.27
4 F 0.5000 0.5000 0.5000 [1 per cell]  4 Pt 2.27, 2 Tl 2.48

Output
E_tot: -16.91 eV/cell

---

Entry 4:
Material: NaTl2PtF6
Method: DFT, GGA-PBE
State: relaxed

Cell: 6.1725 6.1725 5.8991 Å, 90.00 90.00 120.00°
Last column: nearest neighbours and their distance in Å.
Space group P-3m1 (No. 164)
Inequivalent atoms, fractional coordinates:
1 Na 0.0000 0.0000 0.0000 [1 per cell]  6 F 2.37
2 Tl 0.3333 0.6667 0.3453 [2 per cell]  9 F 2.89-3.11
3 Pt 0.0000 0.0000 0.5000 [1 per cell]  6 F 2.09
4 F 0.1559 0.3119 0.7145 [6 per cell]  1 Pt 2.09

Output
E_tot: -40.47 eV/cell

---

Entry 5:
Material: Na3PuF8
Method: DFT, GGA-PBE
State: relaxed

Cell: 5.4835 5.4835 10.9065 Å, 90.00 90.00 90.00°
Last column: nearest neighbours and their distance in Å.
Space group I4/mmm (No. 139)
Inequivalent atoms, fractional coordinates:
1 Na 0.0000 0.0000 0.0000 [2 per cell]  8 F 2.44
2 Na 0.0000 0.5000 0.2500 [4 per cell]  8 F 2.43
3 Pu 0.0000 0.0000 0.5000 [2 per cell]  8 F 2.19
4 F 0.2309 0.2309 0.3837 [16 per cell]  1 Pu 2.19, 3 Na 2.43-2.44

Output
E_tot: -138.57 eV/cell

---

Entry 6:
Material: NaPu4F10
Method: DFT, GGA-PBE
State: relaxed

Cell: 4.1409 4.1409 50.3116 Å, 90.00 90.00 120.00°
Last column: nearest neighbours and their distance in Å.
Space group R-3m (No. 166, hexagonal axes)
Inequivalent atoms, fractional coordinates:
1 Na 0.0000 0.0000 0.0000 [3 per cell]  8 F 2.57-2.66
2 Pu 0.0000 0.0000 0.2006 [6 per cell]  8 F 2.50-2.57
3 Pu 0.0000 0.0000 0.3965 [6 per cell]  4 F 2.23-2.45
4 F 0.0000 0.0000 0.0529 [6 per cell]  3 Pu 2.45, 1 Na 2.66
5 F 0.0000 0.0000 0.1495 [6 per cell]  4 Pu 2.53-2.57
6 F 0.0000 0.0000 0.2502 [6 per cell]  4 Pu 2.50-2.59
7 F 0.0000 0.0000 0.3521 [6 per cell]  1 Pu 2.23
8 F 0.0000 0.0000 0.4495 [6 per cell]  4 Pu 2.53-2.66

Output
E_tot: -376.53 eV/cell

---

Entry 7:
Material: Na6PuF12
Method: DFT, GGA-PBE
State: relaxed

Cell: 9.2213 9.2213 13.4560 Å, 90.00 90.00 120.00°
Last column: nearest neighbours and their distance in Å.
Space group R-3 (No. 148, hexagonal axes)
Inequivalent atoms, fractional coordinates:
1 Na 0.0143 0.7663 0.2576 [18 per cell]  4 F 2.22-2.43
2 Pu 0.0000 0.0000 0.0000 [3 per cell]  6 F 2.05
3 F 0.0141 0.7715 0.7175 [18 per cell]  3 Na 2.22-2.29
4 F 0.0676 0.1982 0.0947 [18 per cell]  1 Pu 2.05

Output
excess energy over the best structure of this formula in the dataset: 0.085 eV per atom
E_tot: -284.06 eV/cell

---

Entry 8:
Material: Na2Pu2F7
Method: DFT, GGA-PBE
State: relaxed

Cell: 7.7356 8.0858 5.5179 Å, 90.00 90.00 90.00°
Last column: nearest neighbours and their distance in Å.
Space group Cmmm (No. 65)
Inequivalent atoms, fractional coordinates:
1 Na 0.0000 0.2305 0.0000 [4 per cell]  7 F 2.18-2.43
2 Pu 0.2464 0.5000 0.5000 [4 per cell]  6 F 2.36-2.40
3 F 0.0000 0.0000 0.2613 [4 per cell]  2 Na 2.36, 2 Pu 2.36, 1 F 2.63
4 F 0.0000 0.5000 0.0000 [2 per cell]  2 Na 2.18
5 F 0.2500 0.2500 0.2646 [8 per cell]  2 Pu 2.40, 2 Na 2.43, 1 F 2.60

Output
excess energy over the best structure of this formula in the dataset: 0.057 eV per atom
E_tot: -157.03 eV/cell

---

Entry 9:
Material: Na2PuF6
Method: DFT, GGA-PBE
State: relaxed

Cell: 10.1680 10.1680 4.9504 Å, 90.00 90.00 120.00°
Last column: nearest neighbours and their distance in Å.
Space group P-3m1 (No. 164)
Inequivalent atoms, fractional coordinates:
1 Na 0.0000 0.3439 0.0000 [6 per cell]  6 F 2.32-2.40
2 Pu 0.0000 0.0000 0.0000 [1 per cell]  6 F 2.17
3 Pu 0.3333 0.6667 0.4992 [2 per cell]  6 F 2.16-2.17
4 F 0.1076 0.2151 0.2129 [6 per cell]  1 Pu 2.17, 2 Na 2.34
5 F 0.1290 0.5645 0.2529 [6 per cell]  1 Pu 2.17, 2 Na 2.32
6 F 0.2334 0.4668 0.7517 [6 per cell]  1 Pu 2.16, 2 Na 2.40

Output
E_tot: -170.56 eV/cell

---

Entry 10:
Material: NaPu3F6
Method: DFT, GGA-PBE
State: relaxed

Cell: 7.5636 14.4862 5.9626 Å, 90.00 90.00 90.00°
Last column: nearest neighbours and their distance in Å.
Space group Cmc2_1 (No. 36)
Inequivalent atoms, fractional coordinates:
1 Na 0.0000 0.0999 0.0000 [4 per cell]  7 F 2.23-2.48
2 Pu 0.0000 0.4319 0.2458 [4 per cell]  4 F 2.47, 2 Pu 2.58
3 Pu 0.2312 0.3641 0.9742 [8 per cell]  4 F 2.27-2.45
4 F 0.0000 0.0542 0.3620 [4 per cell]  2 Na 2.26-2.38, 2 Pu 2.45
5 F 0.0000 0.1762 0.6745 [4 per cell]  1 Na 2.23, 2 Pu 2.43
6 F 0.1850 0.2218 0.1735 [8 per cell]  2 Pu 2.27-2.41, 1 Na 2.48
7 F 0.1988 0.4531 0.5708 [8 per cell]  1 Na 2.44, 3 Pu 2.47-2.72

Output
E_tot: -327.15 eV/cell

---

Entry 11:
Material: NaPu2F8
Method: DFT, GGA-PBE
State: relaxed

Cell: 14.3931 3.8738 5.6597 Å, 90.00 112.62 90.00°
Last column: nearest neighbours and their distance in Å.
Space group C2/m (No. 12)
Inequivalent atoms, fractional coordinates:
1 Na 0.0000 0.0000 0.0000 [2 per cell]  6 F 2.38-2.46
2 Pu 0.1643 0.5000 0.6688 [4 per cell]  7 F 2.20-2.47
3 F 0.0326 0.5000 0.7762 [4 per cell]  1 Pu 2.20, 2 Na 2.46
4 F 0.0984 0.0000 0.4477 [4 per cell]  2 Pu 2.30, 1 Na 2.38, 1 F 2.55
5 F 0.1829 0.0000 0.9532 [4 per cell]  3 Pu 2.41-2.47, 4 F 2.59-2.64
6 F 0.2101 0.5000 0.3239 [4 per cell]  1 Pu 2.29, 1 F 2.55

Output
excess energy over the best structure of this formula in the dataset: 0.018 eV per atom
E_tot: -164.73 eV/cell